## NdGdCdOs (PBE-GGA)

Data for an optimized crystal structure of NdGdCdOs.

Values from the calculation:
The formation energy comes out at -0.10 eV/atom. The crystal system is cubic. The volume comes out at 23.8 A^3/atom. The value obtained for the raw total energy is -31.4 eV per cell.

a b c (Å): 5.123 5.123 5.123
angles (deg): 60.00 60.00 60.00
Positions (direct):
Nd 0.000 0.000 0.000
Gd 0.500 0.500 0.500
Os 0.250 0.250 0.250
Cd 0.750 0.750 0.750

## CaLaSe2S (PBE-GGA)

Data for an optimized crystal structure of CaLaSe2S.

Values from the calculation:
The crystal system is tetragonal. The volume comes out at 31.3 A^3/atom. The value obtained for the raw total energy is -20.8 eV per cell.

a b c (Å): 5.548 5.084 5.548
angles (deg): 90.00 90.00 90.00
Positions (direct):
Ca 0.500 0.500 0.500
S 0.000 0.000 0.000
Se 0.000 0.000 0.500
Se 0.500 0.000 0.000
La 0.000 0.500 0.000